First-principles (PBE) data for a relaxed structure of Ti3FeNi12, as listed in Alexandria via LeMat-Bulk.

Unit cell a=3.5889 b=3.5889 c=14.4113 alpha=90.00 beta=90.00 gamma=90.00
Last column: nearest neighbours and their distance in Å.
Sites, in units of the cell vectors:
Ti 0.0000 0.0000 0.0000  12 Ni 2.54-2.55
Ti 0.0000 0.0000 0.2536  12 Ni 2.54-2.57
Ti 0.0000 0.0000 0.7464  12 Ni 2.54-2.57
Fe 0.0000 0.0000 0.5000  12 Ni 2.51-2.54
Ni 0.0000 0.5000 0.1255  8 Ni 2.54-2.55, 4 Ti 2.55-2.57
Ni 0.0000 0.5000 0.3780  2 Fe 2.51, 8 Ni 2.51-2.56, 2 Ti 2.54
Ni 0.0000 0.5000 0.6220  2 Fe 2.51, 8 Ni 2.51-2.56, 2 Ti 2.54
Ni 0.0000 0.5000 0.8745  8 Ni 2.54-2.55, 4 Ti 2.55-2.57
Ni 0.5000 0.0000 0.1255  8 Ni 2.54-2.55, 4 Ti 2.55-2.57
Ni 0.5000 0.0000 0.3780  2 Fe 2.51, 8 Ni 2.51-2.56, 2 Ti 2.54
Ni 0.5000 0.0000 0.6220  2 Fe 2.51, 8 Ni 2.51-2.56, 2 Ti 2.54
Ni 0.5000 0.0000 0.8745  8 Ni 2.54-2.55, 4 Ti 2.55-2.57
Ni 0.5000 0.5000 0.0000  4 Ti 2.54, 8 Ni 2.55
Ni 0.5000 0.5000 0.2509  4 Ti 2.54, 8 Ni 2.55-2.56
Ni 0.5000 0.5000 0.5000  8 Ni 2.51, 4 Fe 2.54
Ni 0.5000 0.5000 0.7491  4 Ti 2.54, 8 Ni 2.55-2.56

Summary:
formation energy from the elements: -0.371 eV/atom
size of the total moment: 0.31 μB per atom
total DFT energy (no corrections): -107.461 eV per cell
crystal system: tetragonal